## Cd2Fe2Au (PBEsol)

Data for crystalline Cd2Fe2Au at its relaxed geometry.

Cell and atoms, written as POSCAR:
```
Cd2Fe2Au
1.0
3.784 0.000 0.000
0.000 3.784 0.000
-1.892 -1.892 6.073
Cd Fe Au
2 2 1
Direct
0.250 0.750 0.500
0.750 0.250 0.500
0.585 0.585 0.171
0.415 0.415 0.829
0.000 0.000 0.000
```

Results
* space-group type: I4/mmm, No. 139
* DFT formation energy: 0.611 eV per atom
* magnetization: 5.6 μB per formula unit